Density functional theory data (PBE) for a geometry-optimized CdHg2Pd2 structure.

As for the energy relative to the elements: -0.080 eV/atom. For the distance to the lowest polymorph of the same formula, the calculation gives 0.085 eV/atom. As for the crystal system: tetragonal. The value obtained for the total magnetic moment is 0.00 μB/atom.

The structure belongs to space group P4/mbm (No. 127); the cell edges are 7.9892, 7.9892 and 3.0884 Å and the angles 90.00°, 90.00° and 90.00°. The asymmetric unit holds Cd at (0.0000, 0.0000, 0.0000), Hg at (0.1382, 0.3618, 0.0000) and Pd at (0.1599, 0.6599, 0.5000).